# CaZnSbH, relaxed, DFT PBE
# * volume: 258.9 Å³/cell
# * polymorph energy (0 for the lowest one): 12 meV/atom
# * density: 4.4 g cm⁻³
# * crystal system: trigonal
data_CaZnSbH
_cell_length_a 4.3513
_cell_length_b 4.3513
_cell_length_c 15.7910
_cell_angle_alpha 90.00
_cell_angle_beta 90.00
_cell_angle_gamma 120.00
_symmetry_space_group_name_H-M 'R 3 m'
_symmetry_Int_Tables_number 160
_symmetry_space_group_name_Hall 'R 3 -2"'
loop_
_atom_site_label
_atom_site_fract_x
_atom_site_fract_y
_atom_site_fract_z
Ca1 0.0000 0.0000 0.0000
Zn1 0.0000 0.0000 0.1934
Sb1 0.0000 0.0000 0.7985
H1 0.0000 0.0000 0.3007